Compound: Cd2RhAu
Source: Alexandria
Functional: PBE
Structure: optimized geometry

Properties
The calculation puts the total energy at -3.22 eV/atom. As for the energy of formation from the pure elements: -2.34 kcal/mol of atoms.

Unit cell a=5.126 b=5.126 c=5.126 alpha=132.43 beta=132.43 gamma=69.55
Element x y z (fractional)
Cd 0.000 0.000 0.000
Cd 0.250 0.750 0.500
Au 0.750 0.250 0.500
Rh 0.500 0.500 0.000



Compound: Sc6C2NO3
Source: Alexandria
Functional: PBE
Structure: optimized geometry

Properties
The value obtained for the formation energy without anion corrections is -2136 meV per atom. The calculation puts the total energy at -8.77 eV/atom.

Unit cell a=5.580 b=5.580 c=5.589 alpha=99.59 beta=99.59 gamma=119.97
Element x y z (fractional)
C 0.333 0.667 0.000
C 0.667 0.333 0.000
Sc 0.920 0.587 0.761
Sc 0.080 0.413 0.239
Sc 0.413 0.080 0.239
Sc 0.254 0.254 0.761
Sc 0.746 0.746 0.239
Sc 0.587 0.920 0.761
O 0.166 0.834 0.500
O 0.834 0.166 0.500
O 0.500 0.500 0.500
N 0.000 0.000 0.000



Compound: LiBSe2
Source: Alexandria
Functional: PBE
Structure: optimized geometry

Properties
The value obtained for the formation energy without anion corrections is -382 meV per atom. The calculation puts the total energy at -4.27 eV/atom.

Unit cell a=15.854 b=4.335 c=9.194 alpha=90.00 beta=132.27 gamma=90.00
Element x y z (fractional)
B 0.736 0.944 0.954
B 0.236 0.556 0.454
B 0.264 0.056 0.046
B 0.764 0.444 0.546
Se 0.367 0.446 0.697
Se 0.614 0.777 0.719
Se 0.133 0.946 0.803
Se 0.886 0.277 0.781
Se 0.867 0.054 0.197
Se 0.386 0.223 0.281
Se 0.633 0.554 0.303
Se 0.114 0.723 0.219
Li 0.901 0.542 0.065
Li 0.099 0.458 0.935
Li 0.599 0.042 0.435
Li 0.401 0.958 0.565